[1]
CsCoNiF6, single point on PBEsol structure, DFT SCAN; volume = 13.852 A^3/atom; energy = -12.79 eV/atom
1.0
-3.492 3.559 5.015
3.492 -3.559 5.015
3.492 3.559 -5.015
Cs Co Ni F
2 2 2 12
Direct
0.373 0.123 0.250
0.627 0.877 0.750
0.000 0.000 0.500
0.000 0.500 0.000
0.000 0.500 0.500
0.500 0.500 0.000
0.063 0.421 0.232
0.063 0.831 0.642
0.064 0.814 0.250
0.311 0.169 0.732
0.311 0.579 0.142
0.329 0.579 0.750
0.671 0.421 0.250
0.689 0.421 0.858
0.689 0.831 0.268
0.936 0.186 0.750
0.937 0.169 0.358
0.937 0.579 0.768

[2]
Y3SnOs, single point on PBEsol structure, DFT SCAN; energy relative to the elements = -323 meV per atom; volume = 28.922 A^3/atom; energy = -38.59 eV/atom
1.0
5.249 0.000 0.000
0.000 5.249 0.000
0.000 0.000 5.249
Y Sn Os
3 1 1
Direct
0.000 0.000 0.500
0.000 0.500 0.000
0.500 0.000 0.000
0.500 0.500 0.500
0.000 0.000 0.000

[3]
CdCu3B, single point on PBEsol structure, DFT SCAN; energy relative to the elements = 187 meV per atom; volume = 12.495 A^3/atom; energy = -16.50 eV/atom
1.0
3.968 0.000 0.000
0.000 3.968 0.000
0.000 0.000 3.968
Cd Cu B
1 3 1
Direct
0.000 0.000 0.000
0.000 0.500 0.500
0.500 0.000 0.500
0.500 0.500 0.000
0.500 0.500 0.500